(1)
A plane-wave DFT calculation with GGA-PBE was carried out for crystalline SrCa2MgP at its relaxed geometry.

a = 5.5508 Å, b = 5.5508 Å, c = 5.9127 Å
α = 90.00°, β = 90.00°, γ = 90.00°
Fractional coordinates of all 5 atoms:
P 0.0000 0.0000 0.0000
Ca 0.0000 0.5000 0.0000
Ca 0.5000 0.0000 0.0000
Mg 0.5000 0.5000 0.5000
Sr 0.0000 0.0000 0.5000

Computed properties:
Mass density: 2.0 g/cm3
Space-group type: P4/mmm, No. 123
D(E_F): 0.841 states/eV per atom
E_tot: -3.021 eV/atom

---

(2)
A plane-wave DFT calculation with GGA-PBE was carried out for crystalline Al2CrOs2 at its relaxed geometry.

a = 7.0704 Å, b = 7.0704 Å, c = 2.9147 Å
α = 90.00°, β = 90.00°, γ = 90.00°
Fractional coordinates of all 10 atoms:
Os 0.3308 0.1692 0.5000
Os 0.1692 0.6692 0.5000
Os 0.8308 0.3308 0.5000
Os 0.6692 0.8308 0.5000
Cr 0.0000 0.0000 0.0000
Cr 0.5000 0.5000 0.0000
Al 0.6300 0.1300 0.0000
Al 0.3700 0.8700 0.0000
Al 0.1300 0.3700 0.0000
Al 0.8700 0.6300 0.0000

Computed properties:
Energy relative to the lowest polymorph listed for this composition: 3.44 kcal/mol of atoms
Mass density: 11.1 g/cm3
Space-group type: P4/mbm, No. 127
D(E_F): 0.765 states/eV per atom
E_tot: -7.898 eV/atom

---

(3)
A plane-wave DFT calculation with GGA-PBE was carried out for crystalline HgBPS2 at its relaxed geometry.

a = 5.0750 Å, b = 5.0750 Å, c = 4.9823 Å
α = 90.00°, β = 90.00°, γ = 90.00°
Fractional coordinates of all 5 atoms:
P 0.0000 0.0000 0.5000
S 0.5000 0.0000 0.0000
S 0.0000 0.5000 0.0000
Hg 0.0000 0.0000 0.0000
B 0.5000 0.5000 0.5000

Computed properties:
Energy relative to the lowest polymorph listed for this composition: 26.19 kcal/mol of atoms
Mass density: 4.0 g/cm3
Space-group type: P4/mmm, No. 123
Formation energy from raw total energies: 1.92 eV per atom
D(E_F): 0.701 states/eV per atom
E_tot: -2.209 eV/atom

---

(4)
A plane-wave DFT calculation with GGA-PBE was carried out for crystalline Cs4Rb2Bi at its relaxed geometry.

a = 7.6148 Å, b = 7.6148 Å, c = 13.4627 Å
α = 106.43°, β = 106.43°, γ = 90.00°
Fractional coordinates of all 7 atoms:
Rb 0.6558 0.6558 0.3116
Rb 0.3442 0.3442 0.6884
Cs 0.1510 0.1510 0.3021
Cs 0.8490 0.8490 0.6979
Cs 0.0000 0.5000 0.0000
Cs 0.5000 0.0000 0.0000
Bi 0.0000 0.0000 0.0000

Computed properties:
Mass density: 2.1 g/cm3
Space-group type: I4/mmm, No. 139
D(E_F): 1.518 states/eV per atom
E_tot: -1.392 eV/atom

---

(5)
A plane-wave DFT calculation with GGA-PBE was carried out for crystalline PmHoZr2 at its relaxed geometry.

a = 3.9543 Å, b = 3.9543 Å, c = 6.9348 Å
α = 90.00°, β = 90.00°, γ = 90.00°
Fractional coordinates of all 4 atoms:
Ho 0.5000 0.5000 0.5000
Zr 0.0000 0.0000 0.2751
Zr 0.0000 0.0000 0.7249
Pm 0.5000 0.5000 0.0000

Computed properties:
Energy relative to the lowest polymorph listed for this composition: 1.80 kcal/mol of atoms
Mass density: 7.5 g/cm3
Space-group type: P4/mmm, No. 123
D(E_F): 1.311 states/eV per atom
E_tot: -6.377 eV/atom

---

(6)
A plane-wave DFT calculation with GGA-PBE was carried out for crystalline BiPH2S at its relaxed geometry.

a = 3.8550 Å, b = 5.6565 Å, c = 3.8550 Å
α = 90.00°, β = 90.00°, γ = 90.00°
Fractional coordinates of all 5 atoms:
S 0.5000 0.5000 0.5000
P 0.0000 0.5000 0.0000
H 0.5000 0.0000 0.0000
H 0.0000 0.0000 0.5000
Bi 0.0000 0.0000 0.0000

Computed properties:
Mass density: 5.4 g/cm3
Space-group type: P4/mmm, No. 123
D(E_F): 0.409 states/eV per atom
E_tot: -3.508 eV/atom